No. 1
A crystal of NbBi3Os relaxed with PBEsol, computed with meta-GGA SCAN.

**N(E_F)**: 3.10 states/eV/cell
**Magnetization**: 0.758 μB/atom
**Calculated volume**: 28.523 Å³/atom
**Formation energy from the elements**: 1264 meV/atom

abc: 5.2246 5.2246 5.2246
angles: 90.00 90.00 90.00
Atoms (fractional coordinates):
Nb1 0.5000 0.5000 0.5000
Os1 0.0000 0.0000 0.0000
Bi1 0.0000 0.5000 0.0000
Bi2 0.0000 0.0000 0.5000
Bi3 0.5000 0.0000 0.0000

No. 2
A crystal of MgHgPb relaxed with PBEsol, computed with meta-GGA SCAN.

**N(E_F)**: 1.08 states/eV/cell
**Magnetization**: 0.000 μB/atom
**Calculated volume**: 24.285 Å³/atom
**Formation energy from the elements**: -141 meV/atom

abc: 3.4416 3.7469 6.1960
angles: 107.60 106.12 90.00
Atoms (fractional coordinates):
Pb1 0.3335 0.3335 0.6670
Mg1 0.6482 0.6482 0.2963
Hg1 0.0183 0.0183 0.0367

No. 3
A crystal of TlGeIr3 relaxed with PBEsol, computed with meta-GGA SCAN.

**N(E_F)**: 4.52 states/eV/cell
**Magnetization**: 0.595 μB/atom
**Calculated volume**: 23.422 Å³/atom
**Formation energy from the elements**: 2577 meV/atom

abc: 4.8925 4.8925 4.8925
angles: 90.00 90.00 90.00
Atoms (fractional coordinates):
Tl1 0.0000 0.0000 0.0000
Ir1 0.0000 0.5000 0.0000
Ir2 0.0000 0.0000 0.5000
Ir3 0.5000 0.0000 0.0000
Ge1 0.5000 0.5000 0.5000

No. 4
A crystal of TaHg2Pb relaxed with PBEsol, computed with meta-GGA SCAN.

**N(E_F)**: 1.86 states/eV/cell
**Magnetization**: 0.000 μB/atom
**Calculated volume**: 20.951 Å³/atom
**Formation energy from the elements**: 451 meV/atom

abc: 3.1066 5.4426 5.4426
angles: 114.40 90.00 90.00
Atoms (fractional coordinates):
Hg1 0.0000 0.5000 0.0000
Hg2 0.0000 0.0000 0.5000
Pb1 0.5000 0.0000 0.0000
Ta1 0.5000 0.5000 0.5000

| no. | electronic total energy (eV/atom) |
| --- | --- |
| 1 | -66.89 |
| 2 | -49.78 |
| 3 | -58.37 |
| 4 | -69.22 |